Record 1
# PBE Sc2TcP, relaxed
data_Sc2TcP
_chemical_formula_sum 'Sc2 Tc1 P1'
_cell_length_a 3.394
_cell_length_b 3.394
_cell_length_c 5.826
_cell_angle_alpha 90.00
_cell_angle_beta 90.00
_cell_angle_gamma 90.00
_symmetry_space_group_name_H-M 'P 4/m m m'
_symmetry_Int_Tables_number 123
_symmetry_space_group_name_Hall '-P 4 2'
loop_
_atom_site_label
_atom_site_fract_x
_atom_site_fract_y
_atom_site_fract_z
Sc1 0.000 0.000 0.245
Tc1 0.500 0.500 0.500
P1 0.500 0.500 0.000
# Raw total energy, eV/cell: -31.2
# Density of states at the Fermi level, states/eV/f.u.: 2.959
# V, Å³/atom: 16.78
# Formation enthalpy at 0 K, eV/f.u.: -2.78
# Total magnetic moment, μB per cell: 0.0

Record 2
# PBE Sm5Er8In, relaxed
data_Sm5Er8In
_chemical_formula_sum 'Sm10 Er16 In2'
_cell_length_a 9.566
_cell_length_b 9.566
_cell_length_c 9.911
_cell_angle_alpha 90.00
_cell_angle_beta 90.00
_cell_angle_gamma 90.00
_symmetry_space_group_name_H-M 'I -4'
_symmetry_Int_Tables_number 82
_symmetry_space_group_name_Hall 'I -4'
loop_
_atom_site_label
_atom_site_fract_x
_atom_site_fract_y
_atom_site_fract_z
Sm1 0.000 0.000 0.000
Sm2 0.102 0.788 0.419
Er1 0.069 0.675 0.092
Er2 0.085 0.814 0.754
In1 0.000 0.500 0.750
# Raw total energy, eV/cell: -120.6
# Density of states at the Fermi level, states/eV/f.u.: 16.321
# V, Å³/atom: 32.39
# Formation enthalpy at 0 K, eV/f.u.: 2.54
# Total magnetic moment, μB per cell: 0.0